Density functional theory data (PBE) for a relaxed CaRe2Br crystal.

Its crystal system is tetragonal. The polymorph energy (0 for the lowest one) comes out at 0.061 eV/atom. As for the total moment: 0.000 μB/f.u.

The space group is P4mm (No. 99) and the conventional cell measures 3.1934, 3.1934 and 8.2774 Å, with angles of 90.00, 90.00 and 90.00 degrees. Symmetry generates all atoms from Ca at (0.0000, 0.0000, 0.0000), Re at (0.0000, 0.0000, 0.4264), Re at (0.5000, 0.5000, 0.2789) and Br at (0.5000, 0.5000, 0.7675).

***

Density functional theory data (PBE) for a relaxed AgGeTe crystal.

Its crystal system is trigonal. The polymorph energy (0 for the lowest one) comes out at 0.034 eV/atom. As for the total moment: 0.000 μB/f.u.

The space group is P3m1 (No. 156) and the conventional cell measures 3.9830, 3.9830 and 5.2151 Å, with angles of 90.00, 90.00 and 120.00 degrees. Symmetry generates all atoms from Ag at (0.0000, 0.0000, 0.0000), Ge at (0.6667, 0.3333, 0.3008) and Te at (0.3333, 0.6667, 0.6360).

***

Density functional theory data (PBE) for a relaxed Hg2OsI crystal.

Its crystal system is tetragonal. The polymorph energy (0 for the lowest one) comes out at 0.000 eV/atom. As for the total moment: 1.000 μB/f.u.

The space group is I-42d (No. 122) and the conventional cell measures 6.4365, 6.4365 and 14.2755 Å, with angles of 90.00, 90.00 and 90.00 degrees. Symmetry generates all atoms from Hg at (0.1592, 0.2500, 0.1250), Os at (0.0000, 0.0000, 0.0000) and I at (0.0000, 0.0000, 0.5000).